No. 1
{
  "formula": "La8TeIr3Br4",
  "functional": "PBE-GGA",
  "state": "relaxed",
  "lattice_angstrom": [[4.347, 2.510, 7.717], [-4.347, 2.510, 7.717], [0.000, -5.020, 7.717]],
  "species": ["La", "La", "La", "La", "La", "La", "La", "La", "Te", "Ir", "Ir", "Ir", "Br", "Br", "Br", "Br"],
  "frac_coords": [[0.207, 0.749, 0.749], [0.232, 0.232, 0.232], [0.251, 0.251, 0.793], [0.251, 0.793, 0.251], [0.749, 0.207, 0.749], [0.749, 0.749, 0.207], [0.768, 0.768, 0.768], [0.793, 0.251, 0.251], [0.500, 0.500, 0.500], [0.000, 0.000, 0.500], [0.000, 0.500, 0.000], [0.500, 0.000, 0.000], [0.000, 0.000, 0.000], [0.000, 0.500, 0.500], [0.500, 0.000, 0.500], [0.500, 0.500, 0.000]],
  "m_tot_mub_per_fu": 0.00,
  "sg": "R-3m (166)",
  "e_form_raw_mev_per_atom": -1235
}

=====

No. 2
{
  "formula": "TaFeNiPt",
  "functional": "PBE-GGA",
  "state": "relaxed",
  "lattice_angstrom": [[3.663, 0.000, 0.000], [0.000, 3.765, 0.000], [0.000, 0.000, 3.943]],
  "species": ["Ta", "Fe", "Ni", "Pt"],
  "frac_coords": [[0.000, 0.000, 0.000], [0.500, 0.500, 0.000], [0.500, 0.000, 0.500], [0.000, 0.500, 0.500]],
  "m_tot_mub_per_fu": 0.87,
  "de_polymorph_kcal_per_mol_atoms": 0.00,
  "e_form_ev_per_atom": -0.3983,
  "sg": "Pmmm (47)"
}

=====

No. 3
{
  "formula": "Li2LaSe",
  "functional": "PBE-GGA",
  "state": "relaxed",
  "lattice_angstrom": [[4.048, 0.000, 0.000], [-2.024, 3.505, 0.000], [0.000, 0.000, 19.160]],
  "species": ["Li", "Li", "Li", "Li", "Li", "Li", "La", "La", "La", "Se", "Se", "Se"],
  "frac_coords": [[0.000, 0.000, 0.209], [0.000, 0.000, 0.791], [0.333, 0.667, 0.457], [0.333, 0.667, 0.876], [0.667, 0.333, 0.124], [0.667, 0.333, 0.543], [0.000, 0.000, 0.000], [0.333, 0.667, 0.667], [0.667, 0.333, 0.333], [0.000, 0.000, 0.500], [0.333, 0.667, 0.167], [0.667, 0.333, 0.833]],
  "m_tot_mub_per_fu": 0.00,
  "sg": "R-3m (166)",
  "e_form_raw_mev_per_atom": -631
}

=====

No. 4
{
  "formula": "NdIn2Sn2",
  "functional": "PBE-GGA",
  "state": "relaxed",
  "lattice_angstrom": [[2.259, -13.073, 0.000], [2.259, 13.073, 0.000], [0.000, 0.000, 4.586]],
  "species": ["Nd", "Nd", "In", "In", "In", "In", "Sn", "Sn", "Sn", "Sn"],
  "frac_coords": [[0.152, 0.848, 0.750], [0.848, 0.152, 0.250], [0.050, 0.950, 0.250], [0.453, 0.547, 0.250], [0.547, 0.453, 0.750], [0.950, 0.050, 0.750], [0.250, 0.750, 0.250], [0.356, 0.644, 0.750], [0.644, 0.356, 0.250], [0.750, 0.250, 0.750]],
  "m_tot_mub_per_fu": 0.00,
  "e_form_ev_per_atom": -0.3431,
  "sg": "Cmcm (63)"
}

=====

Number 4 is which compound? NdIn2Sn2